The following is a DFT calculation (PBE) of a relaxed K3YCl crystal.

Lattice parameters (Å, degrees): 6.221 6.221 6.221 90.00 90.00 90.00
Space group Pm-3m (No. 221)
Unique sites:
1 K 0.000 0.000 0.500 (multiplicity 3)
2 Y 0.500 0.500 0.500 (multiplicity 1)
3 Cl 0.000 0.000 0.000 (multiplicity 1)

Computed properties:
The calculation puts the density of states at the Fermi level at 6.2 states/eV/cell. The value obtained for the calculated total energy is -12.72 eV/cell. As for the formation energy (no corrections): -223 meV/atom. Its size of the total moment is 1.74 μB per cell. The crystal system is cubic.